Here is a relaxed Li3Cr2Fe5O12 crystal from the Alexandria database. Energies are from PBE with a Hubbard U.

- Space-group type: C2
- E: -6.59 eV per atom

a = 5.212 Å, b = 5.212 Å, c = 9.867 Å
α = 84.39°, β = 84.39°, γ = 121.14°
Sites, in units of the cell vectors:
Li1 0.839 0.679 0.738
Li2 0.321 0.161 0.262
Li3 0.917 0.083 0.500
Cr1 0.252 0.748 0.500
Cr2 0.755 0.245 0.000
Fe1 0.083 0.917 0.000
Fe2 0.519 0.008 0.735
Fe3 0.992 0.481 0.265
Fe4 0.420 0.580 0.000
Fe5 0.569 0.431 0.500
O1 0.359 0.863 0.115
O2 0.776 0.950 0.886
O3 0.547 0.732 0.615
O4 0.137 0.641 0.885
O5 0.268 0.453 0.385
O6 0.971 0.765 0.379
O7 0.050 0.224 0.114
O8 0.721 0.528 0.112
O9 0.850 0.389 0.620
O10 0.235 0.029 0.621
O11 0.472 0.279 0.888
O12 0.611 0.150 0.380